Record 1
# PBE-GGA PmNd2Au, optimized geometry
# - energy above the most stable polymorph in this dataset (meV/atom) = 151.2
# - uncorrected energy (eV/f.u.) = -18.53
data_PmNd2Au
_cell_length_a 3.8349
_cell_length_b 3.8349
_cell_length_c 30.4744
_cell_angle_alpha 90.00
_cell_angle_beta 90.00
_cell_angle_gamma 120.00
_space_group_name_H-M_alt 'R 3 m'
_space_group_IT_number 160
_space_group_name_Hall 'R 3 -2"'
loop_
_atom_site_label
_atom_site_fract_x
_atom_site_fract_y
_atom_site_fract_z
Pm1 0.0000 0.0000 0.0000
Nd1 0.0000 0.0000 0.5703
Nd2 0.0000 0.0000 0.7638
Au1 0.0000 0.0000 0.1670


Record 2
# PBE-GGA Pm3Nd3Au4, optimized geometry
# - uncorrected energy (eV/f.u.) = -48.09
data_Pm3Nd3Au4
_cell_length_a 3.903
_cell_length_b 11.867
_cell_length_c 11.926
_cell_angle_alpha 90.00
_cell_angle_beta 90.00
_cell_angle_gamma 90.00
_space_group_name_H-M_alt 'A m m 2'
_space_group_IT_number 38
_space_group_name_Hall 'A 2 -2'
loop_
_atom_site_label
_atom_site_fract_x
_atom_site_fract_y
_atom_site_fract_z
Pm1 0.000 0.000 0.000
Pm2 0.000 0.164 0.666
Nd1 0.000 0.000 0.329
Nd2 0.500 0.250 0.416
Au1 0.500 0.000 0.538
Au2 0.500 0.000 0.794
Au3 0.500 0.129 0.164


Record 3
# PBE-GGA PmNd4Au2, optimized geometry
# - uncorrected energy (eV/f.u.) = -31.79
data_PmNd4Au2
_cell_length_a 4.9123
_cell_length_b 4.9123
_cell_length_c 33.0061
_cell_angle_alpha 90.00
_cell_angle_beta 90.00
_cell_angle_gamma 120.00
_space_group_name_H-M_alt 'R -3 m'
_space_group_IT_number 166
_space_group_name_Hall '-R 3 2"'
loop_
_atom_site_label
_atom_site_fract_x
_atom_site_fract_y
_atom_site_fract_z
Pm1 0.0000 0.0000 0.0000
Nd1 0.0000 0.0000 0.2010
Nd2 0.0000 0.0000 0.3938
Au1 0.0000 0.0000 0.0996


Record 4
# PBE-GGA Pm2NdAu3, optimized geometry
# - energy above the most stable polymorph in this dataset (meV/atom) = 0.0
# - uncorrected energy (eV/f.u.) = -28.78
data_Pm2NdAu3
_cell_length_a 3.689
_cell_length_b 3.689
_cell_length_c 11.175
_cell_angle_alpha 90.00
_cell_angle_beta 90.00
_cell_angle_gamma 90.00
_space_group_name_H-M_alt 'P 4/m m m'
_space_group_IT_number 123
_space_group_name_Hall '-P 4 2'
loop_
_atom_site_label
_atom_site_fract_x
_atom_site_fract_y
_atom_site_fract_z
Pm1 0.000 0.000 0.166
Nd1 0.000 0.000 0.500
Au1 0.500 0.500 0.000
Au2 0.500 0.500 0.330


Record 5
# PBE-GGA PmNdAu2, optimized geometry
# - energy above the most stable polymorph in this dataset (meV/atom) = 36.8
# - uncorrected energy (eV/f.u.) = -19.18
data_PmNdAu2
_cell_length_a 3.704
_cell_length_b 3.704
_cell_length_c 7.412
_cell_angle_alpha 90.00
_cell_angle_beta 90.00
_cell_angle_gamma 90.00
_space_group_name_H-M_alt 'P 4/m m m'
_space_group_IT_number 123
_space_group_name_Hall '-P 4 2'
loop_
_atom_site_label
_atom_site_fract_x
_atom_site_fract_y
_atom_site_fract_z
Pm1 0.000 0.000 0.000
Nd1 0.000 0.000 0.500
Au1 0.500 0.500 0.245


Record 6
# PBE-GGA PmNd2Au6, optimized geometry
# - energy above the most stable polymorph in this dataset (meV/atom) = 0.0
# - uncorrected energy (eV/f.u.) = -40.76
data_PmNd2Au6
_cell_length_a 8.2396
_cell_length_b 8.2396
_cell_length_c 3.6020
_cell_angle_alpha 90.00
_cell_angle_beta 90.00
_cell_angle_gamma 120.00
_space_group_name_H-M_alt 'P 6/m m m'
_space_group_IT_number 191
_space_group_name_Hall '-P 6 2'
loop_
_atom_site_label
_atom_site_fract_x
_atom_site_fract_y
_atom_site_fract_z
Pm1 0.0000 0.0000 0.0000
Nd1 0.3333 0.6667 0.0000
Au1 0.0000 0.3330 0.5000


Record 7
# PBE-GGA Pm2Nd3Au2, optimized geometry
# - uncorrected energy (eV/f.u.) = -33.53
data_Pm2Nd3Au2
_cell_length_a 12.892
_cell_length_b 3.877
_cell_length_c 9.414
_cell_angle_alpha 90.00
_cell_angle_beta 115.09
_cell_angle_gamma 90.00
_space_group_name_H-M_alt 'C 1 2/m 1'
_space_group_IT_number 12
_space_group_name_Hall '-C 2y'
loop_
_atom_site_label
_atom_site_fract_x
_atom_site_fract_y
_atom_site_fract_z
Pm1 0.154 0.000 0.313
Nd1 0.000 0.500 0.500
Nd2 0.113 0.500 0.944
Au1 0.169 0.000 0.727


Record 8
# PBE-GGA PmNdAu, optimized geometry
# - energy above the most stable polymorph in this dataset (meV/atom) = 65.4
# - uncorrected energy (eV/f.u.) = -14.29
data_PmNdAu
_cell_length_a 7.8310
_cell_length_b 7.8310
_cell_length_c 4.9435
_cell_angle_alpha 90.00
_cell_angle_beta 90.00
_cell_angle_gamma 120.00
_space_group_name_H-M_alt 'P -6 2 m'
_space_group_IT_number 189
_space_group_name_Hall 'P -6 -2'
loop_
_atom_site_label
_atom_site_fract_x
_atom_site_fract_y
_atom_site_fract_z
Pm1 0.0000 0.5950 0.0000
Nd1 0.0000 0.2636 0.5000
Au1 0.0000 0.0000 0.0000
Au2 0.3333 0.6667 0.5000


Record 9
# PBE-GGA PmNd2Au2, optimized geometry
# - uncorrected energy (eV/f.u.) = -24.03
data_PmNd2Au2
_cell_length_a 8.412
_cell_length_b 8.412
_cell_length_c 3.926
_cell_angle_alpha 90.00
_cell_angle_beta 90.00
_cell_angle_gamma 90.00
_space_group_name_H-M_alt 'P 4/m b m'
_space_group_IT_number 127
_space_group_name_Hall '-P 4 2ab'
loop_
_atom_site_label
_atom_site_fract_x
_atom_site_fract_y
_atom_site_fract_z
Pm1 0.000 0.000 0.000
Nd1 0.165 0.335 0.500
Au1 0.129 0.629 0.000


Record 10
# PBE-GGA PmNdAu2, optimized geometry
# - energy above the most stable polymorph in this dataset (meV/atom) = 149.5
# - uncorrected energy (eV/f.u.) = -18.73
data_PmNdAu2
_cell_length_a 4.1755
_cell_length_b 4.1755
_cell_length_c 22.6819
_cell_angle_alpha 90.00
_cell_angle_beta 90.00
_cell_angle_gamma 120.00
_space_group_name_H-M_alt 'R -3 m'
_space_group_IT_number 166
_space_group_name_Hall '-R 3 2"'
loop_
_atom_site_label
_atom_site_fract_x
_atom_site_fract_y
_atom_site_fract_z
Pm1 0.0000 0.0000 0.0000
Nd1 0.0000 0.0000 0.5000
Au1 0.0000 0.0000 0.2508


Record 11
# PBE-GGA PmNdAu4, optimized geometry
# - uncorrected energy (eV/f.u.) = -27.34
data_PmNdAu4
_cell_length_a 3.850
_cell_length_b 3.850
_cell_length_c 9.269
_cell_angle_alpha 90.00
_cell_angle_beta 90.00
_cell_angle_gamma 90.00
_space_group_name_H-M_alt 'P 4/m m m'
_space_group_IT_number 123
_space_group_name_Hall '-P 4 2'
loop_
_atom_site_label
_atom_site_fract_x
_atom_site_fract_y
_atom_site_fract_z
Pm1 0.000 0.000 0.000
Nd1 0.500 0.500 0.500
Au1 0.000 0.000 0.333
Au2 0.500 0.500 0.165


Record 12
# PBE-GGA PmNdAu2, optimized geometry
# - energy above the most stable polymorph in this dataset (meV/atom) = 42.4
# - uncorrected energy (eV/f.u.) = -19.15
data_PmNdAu2
_cell_length_a 7.413
_cell_length_b 7.413
_cell_length_c 7.413
_cell_angle_alpha 90.00
_cell_angle_beta 90.00
_cell_angle_gamma 90.00
_space_group_name_H-M_alt 'F m -3 m'
_space_group_IT_number 225
_space_group_name_Hall '-F 4 2 3'
loop_
_atom_site_label
_atom_site_fract_x
_atom_site_fract_y
_atom_site_fract_z
Pm1 0.000 0.000 0.000
Nd1 0.000 0.000 0.500
Au1 0.250 0.250 0.250


Record 13
# PBE-GGA Pm4NdAu4, optimized geometry
# - uncorrected energy (eV/f.u.) = -42.00
data_Pm4NdAu4
_cell_length_a 9.355
_cell_length_b 9.355
_cell_length_c 6.150
_cell_angle_alpha 90.00
_cell_angle_beta 90.00
_cell_angle_gamma 90.00
_space_group_name_H-M_alt 'P 42/n'
_space_group_IT_number 86
loop_
_space_group_symop_operation_xyz
'x,y,z'
'-x,-y,-z'
'-y,x+1/2,z+1/2'
'y,-x+1/2,-z+1/2'
'-x+1/2,-y+1/2,z'
'x+1/2,y+1/2,-z'
'y+1/2,-x,z+1/2'
'-y+1/2,x,-z+1/2'
loop_
_atom_site_label
_atom_site_fract_x
_atom_site_fract_y
_atom_site_fract_z
Pm1 0.062 0.657 0.162
Nd1 0.250 0.250 0.250
Au1 0.035 0.631 0.652


Record 14
# PBE-GGA PmNdAu, optimized geometry
# - energy above the most stable polymorph in this dataset (meV/atom) = 0.0
# - uncorrected energy (eV/f.u.) = -14.48
data_PmNdAu
_cell_length_a 7.316
_cell_length_b 5.108
_cell_length_c 9.256
_cell_angle_alpha 90.00
_cell_angle_beta 90.00
_cell_angle_gamma 90.00
_space_group_name_H-M_alt 'P n m a'
_space_group_IT_number 62
_space_group_name_Hall '-P 2ac 2n'
loop_
_atom_site_label
_atom_site_fract_x
_atom_site_fract_y
_atom_site_fract_z
Pm1 0.152 0.250 0.085
Nd1 0.008 0.250 0.677
Au1 0.244 0.250 0.404


Record 15
# PBE-GGA PmNd2Au, optimized geometry
# - energy above the most stable polymorph in this dataset (meV/atom) = 0.0
# - uncorrected energy (eV/f.u.) = -19.13
data_PmNd2Au
_cell_length_a 7.188
_cell_length_b 10.278
_cell_length_c 6.768
_cell_angle_alpha 90.00
_cell_angle_beta 90.00
_cell_angle_gamma 90.00
_space_group_name_H-M_alt 'P n m a'
_space_group_IT_number 62
_space_group_name_Hall '-P 2ac 2n'
loop_
_atom_site_label
_atom_site_fract_x
_atom_site_fract_y
_atom_site_fract_z
Pm1 0.014 0.250 0.133
Nd1 0.193 0.053 0.677
Au1 0.104 0.750 0.438


Record 16
# PBE-GGA Pm2NdAu8, optimized geometry
# - uncorrected energy (eV/f.u.) = -48.08
data_Pm2NdAu8
_cell_length_a 8.052
_cell_length_b 15.335
_cell_length_c 5.247
_cell_angle_alpha 90.00
_cell_angle_beta 130.58
_cell_angle_gamma 90.00
_space_group_name_H-M_alt 'C 1 2/m 1'
_space_group_IT_number 12
_space_group_name_Hall '-C 2y'
loop_
_atom_site_label
_atom_site_fract_x
_atom_site_fract_y
_atom_site_fract_z
Pm1 0.000 0.185 0.000
Nd1 0.000 0.500 0.500
Au1 0.000 0.000 0.250
Au2 0.000 0.299 0.500
Au3 0.228 0.368 0.229


Record 17
# PBE-GGA PmNd3Au2, optimized geometry
# - energy above the most stable polymorph in this dataset (meV/atom) = 0.0
# - uncorrected energy (eV/f.u.) = -28.72
data_PmNd3Au2
_cell_length_a 3.911
_cell_length_b 10.127
_cell_length_c 9.122
_cell_angle_alpha 90.00
_cell_angle_beta 90.00
_cell_angle_gamma 90.00
_space_group_name_H-M_alt 'P m c 21'
_space_group_IT_number 26
_space_group_name_Hall 'P 2c -2'
loop_
_atom_site_label
_atom_site_fract_x
_atom_site_fract_y
_atom_site_fract_z
Pm1 0.000 0.072 0.000
Nd1 0.000 0.280 0.653
Nd2 0.500 0.219 0.329
Nd3 0.500 0.425 0.981
Au1 0.000 0.433 0.261
Au2 0.500 0.066 0.721


Record 18
# PBE-GGA PmNd2Au, optimized geometry
# - energy above the most stable polymorph in this dataset (meV/atom) = 144.8
# - uncorrected energy (eV/f.u.) = -18.55
data_PmNd2Au
_cell_length_a 3.7706
_cell_length_b 3.7706
_cell_length_c 31.0859
_cell_angle_alpha 90.00
_cell_angle_beta 90.00
_cell_angle_gamma 120.00
_space_group_name_H-M_alt 'R -3 m'
_space_group_IT_number 166
_space_group_name_Hall '-R 3 2"'
loop_
_atom_site_label
_atom_site_fract_x
_atom_site_fract_y
_atom_site_fract_z
Pm1 0.0000 0.0000 0.0000
Nd1 0.0000 0.0000 0.2375
Au1 0.0000 0.0000 0.5000


Record 19
# PBE-GGA PmNd3Au4, optimized geometry
# - uncorrected energy (eV/f.u.) = -38.28
data_PmNd3Au4
_cell_length_a 5.2575
_cell_length_b 5.2575
_cell_length_c 25.6752
_cell_angle_alpha 90.00
_cell_angle_beta 90.00
_cell_angle_gamma 120.00
_space_group_name_H-M_alt 'R -3 m'
_space_group_IT_number 166
_space_group_name_Hall '-R 3 2"'
loop_
_atom_site_label
_atom_site_fract_x
_atom_site_fract_y
_atom_site_fract_z
Pm1 0.0000 0.0000 0.0000
Nd1 0.0000 0.0000 0.2501
Nd2 0.0000 0.0000 0.5000
Au1 0.0000 0.0000 0.1241
Au2 0.0000 0.0000 0.3743


Record 20
# PBE-GGA Pm2Nd2Au5, optimized geometry
# - uncorrected energy (eV/f.u.) = -41.59
data_Pm2Nd2Au5
_cell_length_a 15.088
_cell_length_b 7.950
_cell_length_c 8.013
_cell_angle_alpha 90.00
_cell_angle_beta 90.00
_cell_angle_gamma 90.00
_space_group_name_H-M_alt 'C m c e'
_space_group_IT_number 64
_space_group_name_Hall '-C 2ac 2'
loop_
_atom_site_label
_atom_site_fract_x
_atom_site_fract_y
_atom_site_fract_z
Pm1 0.200 0.000 0.000
Nd1 0.000 0.153 0.348
Au1 0.000 0.000 0.000
Au2 0.139 0.155 0.656